Density functional theory data (PBE+U) for MnSeO after structural relaxation. Values from VASP.

Geometry as Quantum ESPRESSO input:
```
&SYSTEM
  ibrav = 0, nat = 12, ntyp = 3
/
ATOMIC_SPECIES
Mn 54.94 Mn.upf
Se 78.96 Se.upf
O 16.00 O.upf
CELL_PARAMETERS angstrom
5.790 0.000 0.000
0.000 3.245 0.000
0.000 0.000 11.500
ATOMIC_POSITIONS crystal
Mn 0.214 0.250 0.003
Mn 0.286 0.750 0.503
Mn 0.714 0.250 0.497
Mn 0.786 0.750 0.997
Se 0.073 0.250 0.371
Se 0.427 0.750 0.871
Se 0.573 0.250 0.129
Se 0.927 0.750 0.629
O 0.081 0.750 0.081
O 0.419 0.250 0.581
O 0.581 0.750 0.419
O 0.919 0.250 0.919
```

## Properties
Uncorrected energy in eV/atom: -6.040
DOS at the Fermi energy in states/eV per cell: 1.877